Entry from Alexandria: an optimized crystal structure of KZrBeH2 (GGA-PBE).

Properties
uncorrected energy: -2.965 eV/atom
M_tot: 1.576 Bohr magnetons per cell
space group: P4/mmm, No. 123
Fermi-level density of states: 5.01 states/eV per cell

Structure (CIF):
```
data_KZrBeH2
_chemical_formula_sum 'K1 Zr1 Be1 H2'
_cell_length_a 4.0849
_cell_length_b 4.0849
_cell_length_c 7.0022
_cell_angle_alpha 90.00
_cell_angle_beta 90.00
_cell_angle_gamma 90.00
_space_group_name_H-M_alt 'P 1'
_space_group_IT_number 1
loop_
_space_group_symop_operation_xyz
'x,y,z'
loop_
_atom_site_label
_atom_site_type_symbol
_atom_site_fract_x
_atom_site_fract_y
_atom_site_fract_z
_atom_site_occupancy
K1 K 0.0000 0.0000 0.0000 1
Zr1 Zr 0.0000 0.0000 0.5000 1
Be1 Be 0.5000 0.5000 0.0000 1
H1 H 0.0000 0.5000 0.5000 1
H2 H 0.5000 0.0000 0.5000 1
```

Entry from Alexandria: an optimized crystal structure of Ca4C2F5 (GGA-PBE).

Properties
uncorrected energy: -5.836 eV/atom
M_tot: 0.000 Bohr magnetons per cell
space group: C2/m, No. 12
Fermi-level density of states: 2.38 states/eV per cell
formation energy from raw total energies: -2580 meV/atom

Structure (CIF):
```
data_Ca4C2F5
_chemical_formula_sum 'Ca4 C2 F5'
_cell_length_a 8.1366
_cell_length_b 8.1366
_cell_length_c 5.8890
_cell_angle_alpha 94.79
_cell_angle_beta 94.79
_cell_angle_gamma 25.60
_space_group_name_H-M_alt 'P 1'
_space_group_IT_number 1
loop_
_space_group_symop_operation_xyz
'x,y,z'
loop_
_atom_site_label
_atom_site_type_symbol
_atom_site_fract_x
_atom_site_fract_y
_atom_site_fract_z
_atom_site_occupancy
Ca1 Ca 0.0629 0.0629 0.2545 1
Ca2 Ca 0.3149 0.3149 0.2719 1
Ca3 Ca 0.6851 0.6851 0.7281 1
Ca4 Ca 0.9371 0.9371 0.7455 1
C1 C 0.4604 0.4604 0.4632 1
C2 C 0.5396 0.5396 0.5368 1
F1 F 0.1753 0.1753 0.9883 1
F2 F 0.1909 0.1909 0.4678 1
F3 F 0.5000 0.5000 0.0000 1
F4 F 0.8091 0.8091 0.5322 1
F5 F 0.8247 0.8247 0.0117 1
```

Entry from Alexandria: an optimized crystal structure of SrInIr2O (GGA-PBE).

Properties
uncorrected energy: -5.237 eV/atom
M_tot: 0.000 Bohr magnetons per cell
space group: P4/mmm, No. 123
Fermi-level density of states: 2.96 states/eV per cell
formation energy from raw total energies: 183 meV/atom

Structure (CIF):
```
data_SrInIr2O
_chemical_formula_sum 'Sr1 In1 Ir2 O1'
_cell_length_a 4.3394
_cell_length_b 4.3394
_cell_length_c 4.8961
_cell_angle_alpha 90.00
_cell_angle_beta 90.00
_cell_angle_gamma 90.00
_space_group_name_H-M_alt 'P 1'
_space_group_IT_number 1
loop_
_space_group_symop_operation_xyz
'x,y,z'
loop_
_atom_site_label
_atom_site_type_symbol
_atom_site_fract_x
_atom_site_fract_y
_atom_site_fract_z
_atom_site_occupancy
Sr1 Sr 0.0000 0.0000 0.0000 1
In1 In 0.5000 0.5000 0.0000 1
Ir1 Ir 0.0000 0.5000 0.5000 1
Ir2 Ir 0.5000 0.0000 0.5000 1
O1 O 0.5000 0.5000 0.5000 1
```

Entry from Alexandria: an optimized crystal structure of InNiBIr2 (GGA-PBE).

Properties
energy of formation from the pure elements: -0.85 eV/f.u.
uncorrected energy: -6.755 eV/atom
M_tot: 0.000 Bohr magnetons per cell
space group: P4/mmm, No. 123
Fermi-level density of states: 3.04 states/eV per cell

Structure (CIF):
```
data_InNiBIr2
_chemical_formula_sum 'In1 Ni1 B1 Ir2'
_cell_length_a 4.1603
_cell_length_b 4.1603
_cell_length_c 3.9875
_cell_angle_alpha 90.00
_cell_angle_beta 90.00
_cell_angle_gamma 90.00
_space_group_name_H-M_alt 'P 1'
_space_group_IT_number 1
loop_
_space_group_symop_operation_xyz
'x,y,z'
loop_
_atom_site_label
_atom_site_type_symbol
_atom_site_fract_x
_atom_site_fract_y
_atom_site_fract_z
_atom_site_occupancy
In1 In 0.0000 0.0000 0.0000 1
Ni1 Ni 0.5000 0.5000 0.0000 1
B1 B 0.5000 0.5000 0.5000 1
Ir1 Ir 0.0000 0.5000 0.5000 1
Ir2 Ir 0.5000 0.0000 0.5000 1
```

Entry from Alexandria: an optimized crystal structure of La2DyBi (GGA-PBE).

Properties
energy of formation from the pure elements: -0.90 eV/f.u.
uncorrected energy: -4.810 eV/atom
M_tot: 0.980 Bohr magnetons per cell
space group: R3m, No. 160
Fermi-level density of states: 5.08 states/eV per cell

Structure (CIF):
```
data_La2DyBi
_chemical_formula_sum 'La2 Dy1 Bi1'
_cell_length_a 10.1394
_cell_length_b 10.1394
_cell_length_c 10.1394
_cell_angle_alpha 23.91
_cell_angle_beta 23.91
_cell_angle_gamma 23.91
_space_group_name_H-M_alt 'P 1'
_space_group_IT_number 1
loop_
_space_group_symop_operation_xyz
'x,y,z'
loop_
_atom_site_label
_atom_site_type_symbol
_atom_site_fract_x
_atom_site_fract_y
_atom_site_fract_z
_atom_site_occupancy
La1 La 0.0000 0.0000 0.0000 1
La2 La 0.1891 0.1891 0.1891 1
Dy1 Dy 0.7615 0.7615 0.7615 1
Bi1 Bi 0.5946 0.5946 0.5946 1
```

Entry from Alexandria: an optimized crystal structure of NdSm2Y (GGA-PBE).

Properties
energy of formation from the pure elements: 0.17 eV/f.u.
uncorrected energy: -5.125 eV/atom
M_tot: 0.000 Bohr magnetons per cell
space group: Amm2, No. 38
Fermi-level density of states: 6.21 states/eV per cell

Structure (CIF):
```
data_NdSm2Y
_chemical_formula_sum 'Nd1 Sm2 Y1'
_cell_length_a 5.6447
_cell_length_b 6.9335
_cell_length_c 6.9335
_cell_angle_alpha 29.99
_cell_angle_beta 90.00
_cell_angle_gamma 90.00
_space_group_name_H-M_alt 'P 1'
_space_group_IT_number 1
loop_
_space_group_symop_operation_xyz
'x,y,z'
loop_
_atom_site_label
_atom_site_type_symbol
_atom_site_fract_x
_atom_site_fract_y
_atom_site_fract_z
_atom_site_occupancy
Nd1 Nd 0.0000 0.0000 0.0000 1
Sm1 Sm 0.0000 0.2579 0.2579 1
Sm2 Sm 0.5000 0.3835 0.3835 1
Y1 Y 0.5000 0.6453 0.6453 1
```

Entry from Alexandria: an optimized crystal structure of SiAgRu (GGA-PBE).

Properties
uncorrected energy: -5.847 eV/atom
M_tot: 0.000 Bohr magnetons per cell
space group: F-43m, No. 216
Fermi-level density of states: 1.50 states/eV per cell
formation energy from raw total energies: 3 meV/atom

Structure (CIF):
```
data_SiAgRu
_chemical_formula_sum 'Si1 Ag1 Ru1'
_cell_length_a 4.0795
_cell_length_b 4.0795
_cell_length_c 4.0795
_cell_angle_alpha 60.00
_cell_angle_beta 60.00
_cell_angle_gamma 60.00
_space_group_name_H-M_alt 'P 1'
_space_group_IT_number 1
loop_
_space_group_symop_operation_xyz
'x,y,z'
loop_
_atom_site_label
_atom_site_type_symbol
_atom_site_fract_x
_atom_site_fract_y
_atom_site_fract_z
_atom_site_occupancy
Si1 Si 0.0000 0.0000 0.0000 1
Ag1 Ag 0.2500 0.2500 0.2500 1
Ru1 Ru 0.7500 0.7500 0.7500 1
```

Entry from Alexandria: an optimized crystal structure of VBW3 (GGA-PBE).

Properties
energy of formation from the pure elements: 1.64 eV/f.u.
uncorrected energy: -10.603 eV/atom
M_tot: 0.004 Bohr magnetons per cell
space group: Pm-3m, No. 221
Fermi-level density of states: 5.37 states/eV per cell

Structure (CIF):
```
data_VBW3
_chemical_formula_sum 'V1 B1 W3'
_cell_length_a 4.1900
_cell_length_b 4.1900
_cell_length_c 4.1900
_cell_angle_alpha 90.00
_cell_angle_beta 90.00
_cell_angle_gamma 90.00
_space_group_name_H-M_alt 'P 1'
_space_group_IT_number 1
loop_
_space_group_symop_operation_xyz
'x,y,z'
loop_
_atom_site_label
_atom_site_type_symbol
_atom_site_fract_x
_atom_site_fract_y
_atom_site_fract_z
_atom_site_occupancy
V1 V 0.0000 0.0000 0.0000 1
B1 B 0.5000 0.5000 0.5000 1
W1 W 0.0000 0.5000 0.5000 1
W2 W 0.5000 0.0000 0.5000 1
W3 W 0.5000 0.5000 0.0000 1
```

Entry from Alexandria: an optimized crystal structure of Rb2TbThTe4 (GGA-PBE).

Properties
uncorrected energy: -4.589 eV/atom
M_tot: 0.001 Bohr magnetons per cell
space group: P2/m, No. 10
Fermi-level density of states: 4.33 states/eV per cell
formation energy from raw total energies: -1270 meV/atom

Structure (CIF):
```
data_Rb2TbThTe4
_chemical_formula_sum 'Rb2 Tb1 Th1 Te4'
_cell_length_a 7.8480
_cell_length_b 4.5157
_cell_length_c 9.0485
_cell_angle_alpha 90.00
_cell_angle_beta 106.64
_cell_angle_gamma 90.00
_space_group_name_H-M_alt 'P 1'
_space_group_IT_number 1
loop_
_space_group_symop_operation_xyz
'x,y,z'
loop_
_atom_site_label
_atom_site_type_symbol
_atom_site_fract_x
_atom_site_fract_y
_atom_site_fract_z
_atom_site_occupancy
Rb1 Rb 0.0000 0.0000 0.0000 1
Rb2 Rb 0.5000 0.5000 0.0000 1
Tb1 Tb 0.0000 0.5000 0.5000 1
Th1 Th 0.5000 0.0000 0.5000 1
Te1 Te 0.2314 0.0000 0.7035 1
Te2 Te 0.2601 0.5000 0.2925 1
Te3 Te 0.7399 0.5000 0.7075 1
Te4 Te 0.7686 0.0000 0.2965 1
```

Entry from Alexandria: an optimized crystal structure of GdLuRu (GGA-PBE).

Properties
energy of formation from the pure elements: -1.09 eV/f.u.
uncorrected energy: -9.656 eV/atom
M_tot: 7.087 Bohr magnetons per cell
space group: I4mm, No. 107
Fermi-level density of states: 1.46 states/eV per cell

Structure (CIF):
```
data_GdLuRu
_chemical_formula_sum 'Gd1 Lu1 Ru1'
_cell_length_a 6.8534
_cell_length_b 6.8534
_cell_length_c 6.8534
_cell_angle_alpha 151.45
_cell_angle_beta 151.45
_cell_angle_gamma 40.81
_space_group_name_H-M_alt 'P 1'
_space_group_IT_number 1
loop_
_space_group_symop_operation_xyz
'x,y,z'
loop_
_atom_site_label
_atom_site_type_symbol
_atom_site_fract_x
_atom_site_fract_y
_atom_site_fract_z
_atom_site_occupancy
Gd1 Gd 0.0000 0.0000 0.0000 1
Lu1 Lu 0.2554 0.2554 0.0000 1
Ru1 Ru 0.6338 0.6338 0.0000 1
```

Entry from Alexandria: an optimized crystal structure of Fe2W (GGA-PBE).

Properties
energy of formation from the pure elements: 2.32 eV/f.u.
uncorrected energy: -9.187 eV/atom
M_tot: 2.419 Bohr magnetons per cell
space group: P4/mmm, No. 123
Fermi-level density of states: 2.67 states/eV per cell

Structure (CIF):
```
data_Fe2W
_chemical_formula_sum 'Fe2 W1'
_cell_length_a 3.3671
_cell_length_b 3.3671
_cell_length_c 3.7988
_cell_angle_alpha 90.00
_cell_angle_beta 90.00
_cell_angle_gamma 90.00
_space_group_name_H-M_alt 'P 1'
_space_group_IT_number 1
loop_
_space_group_symop_operation_xyz
'x,y,z'
loop_
_atom_site_label
_atom_site_type_symbol
_atom_site_fract_x
_atom_site_fract_y
_atom_site_fract_z
_atom_site_occupancy
Fe1 Fe 0.0000 0.5000 0.0000 1
Fe2 Fe 0.5000 0.0000 0.0000 1
W1 W 0.0000 0.0000 0.5000 1
```

Entry from Alexandria: an optimized crystal structure of Tm3Ga5Ni (GGA-PBE).

Properties
energy of formation from the pure elements: -6.00 eV/f.u.
uncorrected energy: -4.481 eV/atom
M_tot: 0.000 Bohr magnetons per cell
space group: P-62m, No. 189
Fermi-level density of states: 3.38 states/eV per cell

Structure (CIF):
```
data_Tm3Ga5Ni
_chemical_formula_sum 'Tm3 Ga5 Ni1'
_cell_length_a 6.8153
_cell_length_b 6.8153
_cell_length_c 4.2016
_cell_angle_alpha 90.00
_cell_angle_beta 90.00
_cell_angle_gamma 120.00
_space_group_name_H-M_alt 'P 1'
_space_group_IT_number 1
loop_
_space_group_symop_operation_xyz
'x,y,z'
loop_
_atom_site_label
_atom_site_type_symbol
_atom_site_fract_x
_atom_site_fract_y
_atom_site_fract_z
_atom_site_occupancy
Tm1 Tm 0.0000 0.5937 0.0000 1
Tm2 Tm 0.4063 0.4063 0.0000 1
Tm3 Tm 0.5937 0.0000 0.0000 1
Ga1 Ga 0.0000 0.2359 0.5000 1
Ga2 Ga 0.2359 0.0000 0.5000 1
Ga3 Ga 0.3333 0.6667 0.5000 1
Ga4 Ga 0.6667 0.3333 0.5000 1
Ga5 Ga 0.7641 0.7641 0.5000 1
Ni1 Ni 0.0000 0.0000 0.0000 1
```